(1)
The following is a DFT calculation (PBE with a Hubbard U) of KMnO2 after structural relaxation.

a b c (Å): 5.996 5.996 5.544
angles (deg): 57.27 57.27 90.00
Each line ends with the local moment (μB).
Fractional positions:
O  0.738  0.125  0.250  -0.07
O  0.012  0.625  0.250  -0.08
Mn  0.750  0.250  0.500  3.98
Mn  0.000  0.000  0.000  3.97
O  0.875  0.988  0.750  -0.07
K  0.500  0.500  0.000  0.01
O  0.375  0.262  0.750  -0.06
K  0.250  0.750  0.500  0.01

Summary:
The symmetry is No. 122. The value obtained for the total magnetization is 1.000 μB/atom. The total energy comes out at -6.108 eV/atom. The crystal system is tetragonal.



(2)
The following is a DFT calculation (PBE with a Hubbard U) of KMnO2 after structural relaxation.

a b c (Å): 2.965 6.900 12.095
angles (deg): 90.00 90.00 90.00
Each line ends with the local moment (μB).
Fractional positions:
O  0.750  0.306  0.401  -0.04
Mn  0.750  0.624  0.085  3.88
Mn  0.250  0.376  0.915  3.88
O  0.250  0.435  0.098  0.00
O  0.250  0.694  0.599  -0.04
K  0.250  0.618  0.359  0.00
Mn  0.750  0.876  0.585  3.88
O  0.750  0.935  0.402  0.00
O  0.750  0.565  0.902  0.00
O  0.250  0.806  0.099  -0.04
K  0.750  0.118  0.141  0.00
K  0.250  0.882  0.859  0.00
K  0.750  0.382  0.641  0.00
O  0.250  0.065  0.598  0.00
O  0.750  0.194  0.901  -0.04
Mn  0.250  0.124  0.415  3.88

Summary:
The symmetry is No. 62. The value obtained for the total magnetization is 1.000 μB/atom. The total energy comes out at -6.188 eV/atom. The crystal system is orthorhombic.



(3)
The following is a DFT calculation (PBE with a Hubbard U) of KMnO3 after structural relaxation.

a b c (Å): 3.904 3.904 3.904
angles (deg): 90.00 90.00 90.00
Each line ends with the local moment (μB).
Fractional positions:
O  0.500  0.000  0.500  0.04
K  0.000  0.000  0.000  0.00
Mn  0.500  0.500  0.500  3.14
O  0.500  0.500  0.000  -0.04
O  0.000  0.500  0.500  0.06

Summary:
The symmetry is No. 221. The value obtained for the total magnetization is 0.661 μB/atom. The total energy comes out at -5.735 eV/atom. The crystal system is cubic.



(4)
The following is a DFT calculation (PBE with a Hubbard U) of K5Mn2O6 after structural relaxation.

a b c (Å): 6.445 6.445 13.744
angles (deg): 82.97 82.97 66.38
Each line ends with the local moment (μB).
Fractional positions:
O  0.691  0.631  0.856  -0.05
O  0.309  0.369  0.144  -0.05
O  0.570  0.800  0.558  -0.03
K  0.934  0.756  0.211  0.00
K  0.633  0.367  0.250  0.00
K  0.763  0.330  0.505  0.01
O  0.034  0.098  0.124  -0.06
O  0.800  0.570  0.058  -0.03
O  0.430  0.200  0.442  -0.03
Mn  0.893  0.665  0.927  3.48
K  0.367  0.633  0.750  0.00
K  0.756  0.934  0.711  0.00
O  0.631  0.691  0.356  -0.05
K  0.237  0.670  0.495  0.01
O  0.200  0.430  0.942  -0.03
Mn  0.665  0.893  0.427  3.48
Mn  0.107  0.335  0.073  3.48
K  0.670  0.237  0.995  0.01
K  0.330  0.763  0.005  0.01
Mn  0.335  0.107  0.573  3.48
K  0.244  0.066  0.289  0.00
O  0.902  0.966  0.376  -0.06
O  0.369  0.309  0.644  -0.05
K  0.066  0.244  0.789  0.00
O  0.098  0.034  0.624  -0.06
O  0.966  0.902  0.876  -0.06

Summary:
The symmetry is No. 15. The value obtained for the total magnetization is 0.538 μB/atom. The total energy comes out at -5.280 eV/atom. The crystal system is monoclinic.